No. 1
{"formula": "YZr3Rh", "functional": "GGA-PBE", "state": "optimized geometry", "delta_e_f_ev_per_atom": 1.5997, "vol_a3_per_cell": 130.3, "polymorph_energy_mev_per_atom": 1513.1, "magmom_total_mub_per_fu": 0.0, "e_tot_ev_per_atom": -6.29, "lattice_angstrom": [[5.0696, 0.0000, 0.0000], [0.0000, 5.0696, 0.0000], [0.0000, 0.0000, 5.0696]], "species": ["Y", "Zr", "Zr", "Zr", "Rh"], "frac_coords": [[0.0000, 0.0000, 0.0000], [0.0000, 0.0000, 0.5000], [0.0000, 0.5000, 0.0000], [0.5000, 0.0000, 0.0000], [0.5000, 0.5000, 0.5000]]}

***

No. 2
{"formula": "Y4ZrRh3", "functional": "GGA-PBE", "state": "optimized geometry", "delta_e_f_ev_per_atom": -0.6669, "vol_a3_per_cell": 361.3, "magmom_total_mub_per_fu": 0.0, "e_tot_ev_per_atom": -7.72, "lattice_angstrom": [[-5.4865, 5.4865, 3.0006], [5.4865, -5.4865, 3.0006], [5.4865, 5.4865, -3.0006]], "species": ["Y", "Y", "Y", "Y", "Y", "Y", "Y", "Y", "Zr", "Zr", "Rh", "Rh", "Rh", "Rh", "Rh", "Rh"], "frac_coords": [[0.0817, 0.7869, 0.8686], [0.2131, 0.0817, 0.2947], [0.2869, 0.5817, 0.8686], [0.4183, 0.2869, 0.7053], [0.5817, 0.7131, 0.2947], [0.7131, 0.4183, 0.1314], [0.7869, 0.9183, 0.7053], [0.9183, 0.2131, 0.1314], [0.2500, 0.7500, 0.5000], [0.7500, 0.2500, 0.5000], [0.1512, 0.3488, 0.5000], [0.2500, 0.2500, 0.0000], [0.3488, 0.8488, 0.1976], [0.6512, 0.1512, 0.8024], [0.7500, 0.7500, 0.0000], [0.8488, 0.6512, 0.5000]]}

***

No. 3
{"formula": "YZrRh2", "functional": "GGA-PBE", "state": "optimized geometry", "delta_e_f_ev_per_atom": -0.7488, "vol_a3_per_cell": 78.6, "magmom_total_mub_per_fu": 0.0, "e_tot_ev_per_atom": -8.18, "lattice_angstrom": [[4.5353, 0.0000, 0.0000], [0.0000, 1.6950, 5.1142], [0.0000, -1.6950, 5.1142]], "species": ["Y", "Zr", "Rh", "Rh"], "frac_coords": [[0.0000, 0.0000, 0.0000], [0.5000, 0.7244, 0.7244], [0.0000, 0.2664, 0.2664], [0.5000, 0.4475, 0.4475]]}